A relaxed AcTmTlCd crystal, computed with PBE.

Unit cell a=7.8760 b=7.8760 c=7.8760 alpha=90.00 beta=90.00 gamma=90.00
Last column: nearest neighbours and their distance in Å.
Space group F-43m (No. 216)
Asymmetric unit:
Ac 0.0000 0.0000 0.0000 (multiplicity 4)  4 Cd 3.41, 4 Tl 3.41
Tm 0.0000 0.0000 0.5000 (multiplicity 4)  4 Tl 3.41, 4 Cd 3.41
Tl 0.2500 0.2500 0.7500 (multiplicity 4)  4 Ac 3.41, 4 Tm 3.41
Cd 0.2500 0.2500 0.2500 (multiplicity 4)  4 Ac 3.41, 4 Tm 3.41

Calculated values
Crystal system: cubic
Total DFT energy (no corrections), eV per atom: -3.246
Volume, Å³ per cell: 488.6

A relaxed AcTm2Tl2Cd2 crystal, computed with PBE.

Unit cell a=5.0736 b=5.0736 c=27.1883 alpha=90.00 beta=90.00 gamma=120.00
Last column: nearest neighbours and their distance in Å.
Space group R-3m (No. 166, hexagonal axes)
Asymmetric unit:
Ac 0.0000 0.0000 0.0000 (multiplicity 3)  6 Tl 3.52, 2 Tm 3.73
Tm 0.0000 0.0000 0.1371 (multiplicity 6)  3 Cd 3.04, 3 Tm 3.34, 1 Tl 3.39
Tl 0.0000 0.0000 0.2618 (multiplicity 6)  3 Cd 3.08, 4 Tm 3.39-3.43
Cd 0.0000 0.0000 0.4404 (multiplicity 6)  3 Tm 3.04, 3 Tl 3.08, 1 Cd 3.24

Calculated values
Crystal system: trigonal
Total DFT energy (no corrections), eV per atom: -3.002
Volume, Å³ per cell: 606.1

A relaxed AcTmTlCd crystal, computed with PBE.

Unit cell a=3.8877 b=3.8877 c=7.9333 alpha=90.00 beta=90.00 gamma=90.00
Last column: nearest neighbours and their distance in Å.
Space group P4mm (No. 99)
Asymmetric unit:
Ac 0.0000 0.0000 0.0000 (multiplicity 1)  4 Cd 3.55, 4 Tl 3.58, 1 Tm 3.87, 4 Ac 3.89
Tm 0.0000 0.0000 0.4884 (multiplicity 1)  4 Cd 3.20, 4 Tl 3.27
Tl 0.5000 0.5000 0.7112 (multiplicity 1)  4 Tm 3.27, 1 Cd 3.40, 4 Ac 3.58
Cd 0.5000 0.5000 0.2827 (multiplicity 1)  4 Tm 3.20, 1 Tl 3.40, 4 Ac 3.55

Calculated values
Crystal system: tetragonal
Total DFT energy (no corrections), eV per atom: -3.265
Volume, Å³ per cell: 119.9

A relaxed AcYTlCd crystal, computed with PBE.

Unit cell a=3.9227 b=3.9227 c=7.9543 alpha=90.00 beta=90.00 gamma=90.00
Last column: nearest neighbours and their distance in Å.
Space group P4mm (No. 99)
Asymmetric unit:
Ac 0.0000 0.0000 0.0000 (multiplicity 1)  4 Cd 3.55, 4 Tl 3.58, 1 Y 3.89, 4 Ac 3.92
Y 0.0000 0.0000 0.4888 (multiplicity 1)  4 Cd 3.24, 4 Tl 3.31
Tl 0.5000 0.5000 0.7148 (multiplicity 1)  4 Y 3.31, 1 Cd 3.47, 4 Ac 3.58
Cd 0.5000 0.5000 0.2789 (multiplicity 1)  4 Y 3.24, 1 Tl 3.47, 4 Ac 3.55

Calculated values
Crystal system: tetragonal
Total DFT energy (no corrections), eV per atom: -3.797
Volume, Å³ per cell: 122.4

A relaxed AcYTlCd crystal, computed with PBE.

Unit cell a=7.9169 b=7.9169 c=7.9169 alpha=90.00 beta=90.00 gamma=90.00
Last column: nearest neighbours and their distance in Å.
Space group F-43m (No. 216)
Asymmetric unit:
Ac 0.0000 0.0000 0.0000 (multiplicity 4)  4 Tl 3.43, 4 Cd 3.43
Y 0.0000 0.0000 0.5000 (multiplicity 4)  4 Cd 3.43, 4 Tl 3.43
Tl 0.2500 0.2500 0.7500 (multiplicity 4)  4 Y 3.43, 4 Ac 3.43
Cd 0.2500 0.2500 0.2500 (multiplicity 4)  4 Ac 3.43, 4 Y 3.43

Calculated values
Crystal system: cubic
Total DFT energy (no corrections), eV per atom: -3.779
Volume, Å³ per cell: 496.2

A relaxed AcY2Tl2Cd2 crystal, computed with PBE.

Unit cell a=5.0942 b=5.0942 c=27.5394 alpha=90.00 beta=90.00 gamma=120.00
Last column: nearest neighbours and their distance in Å.
Space group R-3m (No. 166, hexagonal axes)
Asymmetric unit:
Ac 0.0000 0.0000 0.0000 (multiplicity 3)  6 Tl 3.53, 2 Y 3.74
Y 0.0000 0.0000 0.1359 (multiplicity 6)  3 Cd 3.06, 3 Y 3.39
Tl 0.0000 0.0000 0.2624 (multiplicity 6)  3 Cd 3.09, 3 Y 3.44
Cd 0.0000 0.0000 0.4382 (multiplicity 6)  3 Y 3.06, 3 Tl 3.09, 1 Cd 3.40

Calculated values
Crystal system: trigonal
Total DFT energy (no corrections), eV per atom: -3.588
Volume, Å³ per cell: 618.9

A relaxed Ac2TlZn3Cd4 crystal, computed with PBE.

Unit cell a=4.7525 b=4.7525 c=11.2365 alpha=90.00 beta=90.00 gamma=90.00
Last column: nearest neighbours and their distance in Å.
Space group P-4m2 (No. 115)
Asymmetric unit:
Ac 0.0000 0.5000 0.2446 (multiplicity 2)  8 Cd 3.59-3.63, 6 Zn 3.62-3.73, 2 Tl 3.73
Tl 0.0000 0.0000 0.5000 (multiplicity 1)  4 Cd 2.88
Zn 0.0000 0.5000 0.8759 (multiplicity 2)  5 Cd 2.60-2.76
Zn 0.5000 0.5000 0.5000 (multiplicity 1)  4 Cd 2.88
Cd 0.0000 0.0000 0.0000 (multiplicity 1)  4 Zn 2.76
Cd 0.0000 0.5000 0.6441 (multiplicity 2)  3 Zn 2.60-2.88, 2 Tl 2.88
Cd 0.5000 0.5000 0.0000 (multiplicity 1)  4 Zn 2.76

Calculated values
Crystal system: tetragonal
Total DFT energy (no corrections), eV per atom: -2.033
Volume, Å³ per cell: 253.8

A relaxed Ac2TlZn4Cd3 crystal, computed with PBE.

Unit cell a=4.7267 b=4.7267 c=10.9795 alpha=90.00 beta=90.00 gamma=90.00
Last column: nearest neighbours and their distance in Å.
Space group P-4m2 (No. 115)
Asymmetric unit:
Ac 0.0000 0.5000 0.2398 (multiplicity 2)  8 Zn 3.54-3.59, 6 Cd 3.58-3.71, 2 Tl 3.71
Tl 0.0000 0.0000 0.5000 (multiplicity 1)  4 Zn 2.82
Zn 0.0000 0.0000 0.0000 (multiplicity 1)  4 Cd 2.72
Zn 0.0000 0.5000 0.6398 (multiplicity 2)  3 Cd 2.61-2.82, 2 Tl 2.82
Zn 0.5000 0.5000 0.0000 (multiplicity 1)  4 Cd 2.72
Cd 0.0000 0.5000 0.8778 (multiplicity 2)  5 Zn 2.61-2.72
Cd 0.5000 0.5000 0.5000 (multiplicity 1)  4 Zn 2.82

Calculated values
Crystal system: tetragonal
Total DFT energy (no corrections), eV per atom: -2.083
Volume, Å³ per cell: 245.3